## YBeSe2 (PBE)

Data for a relaxed structure of YBeSe2.

- raw total energy (eV per cell) = -42.16
- formation energy without anion corrections (eV/atom) = -0.980

Geometry as extended XYZ:
```
8
Lattice="-5.6539 -2.7157 -2.3574 3.0700 -5.9324 -0.5289 -2.3230 -5.1644 1.9977" Properties=species:S:1:pos:R:3 pbc="T T T"
Se -4.2501 -10.9631 -0.9846
Y 0.0000 0.0000 0.0000
Se -3.2757 -3.5115 -0.8504
Se 0.1764 -5.5569 -0.3155
Be -1.2919 -4.3241 -1.4431
Be -0.2724 -7.7105 0.0129
Se -2.4641 -7.5937 0.3734
Y -4.6344 -6.1021 -0.9014
```